1.
DFT (PBE) results for a relaxed structure of PuCdSi2Au5.

Properties
The uncorrected energy comes out at -43.26 eV per cell. The value obtained for the density of states at the Fermi level is 21.1 states/eV per cell. As for the space-group type: P4/mmm (123).

Cell lengths 4.5670, 4.5670, 9.8691 Å; angles 90.00, 90.00, 90.00 degrees
Atoms (fractional coordinates):
Pu 0.0000 0.0000 0.0000
Cd 0.0000 0.0000 0.5000
Si 0.5000 0.5000 0.2399
Si 0.5000 0.5000 0.7601
Au 0.0000 0.5000 0.3214
Au 0.0000 0.5000 0.6786
Au 0.5000 0.0000 0.3214
Au 0.5000 0.0000 0.6786
Au 0.5000 0.5000 0.0000

2.
DFT (PBE) results for a relaxed structure of BeOsSe.

Properties
As for the energy above the most stable polymorph in this dataset: 0 meV per atom. The uncorrected energy comes out at -17.41 eV per cell. The value obtained for the density of states at the Fermi level is 0.9 states/eV per cell. As for the space-group type: P3m1 (156).

Cell lengths 2.9841, 2.9841, 5.4827 Å; angles 90.00, 90.00, 120.00 degrees
Atoms (fractional coordinates):
Be 0.0000 0.0000 0.0000
Os 0.6667 0.3333 0.3044
Se 0.3333 0.6667 0.6442

3.
DFT (PBE) results for a relaxed structure of CdOsAu.

Properties
As for the energy above the most stable polymorph in this dataset: 0 meV per atom. The uncorrected energy comes out at -14.01 eV per cell. The value obtained for the density of states at the Fermi level is 2.5 states/eV per cell. As for the space-group type: P3m1 (156).

Cell lengths 2.8723, 2.8723, 7.1682 Å; angles 90.00, 90.00, 120.00 degrees
Atoms (fractional coordinates):
Cd 0.0000 0.0000 0.0000
Os 0.3333 0.6667 0.3294
Au 0.6667 0.3333 0.6538

4.
DFT (PBE) results for a relaxed structure of Sm6Bi3Ru.

Properties
The uncorrected energy comes out at -109.40 eV per cell. The value obtained for the density of states at the Fermi level is 15.2 states/eV per cell. As for the space-group type: P2_1/c (14).

Cell lengths 6.5578, 8.6487, 12.9161 Å; angles 90.00, 119.73, 90.00 degrees
Atoms (fractional coordinates):
Sm 0.0569 0.2001 0.4414
Sm 0.0569 0.2999 0.9414
Sm 0.2988 0.6553 0.4344
Sm 0.2988 0.8447 0.9344
Sm 0.3633 0.0369 0.2293
Sm 0.3633 0.4631 0.7293
Sm 0.6367 0.5369 0.2707
Sm 0.6367 0.9631 0.7707
Sm 0.7012 0.1553 0.0656
Sm 0.7012 0.3447 0.5656
Sm 0.9431 0.7001 0.0586
Sm 0.9431 0.7999 0.5586
Bi 0.1529 0.1177 0.7387
Bi 0.1529 0.3823 0.2387
Bi 0.5000 0.0000 0.5000
Bi 0.5000 0.5000 0.0000
Bi 0.8471 0.6177 0.7613
Bi 0.8471 0.8823 0.2613
Ru 0.0000 0.0000 0.0000
Ru 0.0000 0.5000 0.5000

5.
DFT (PBE) results for a relaxed structure of Ba2TaRu.

Properties
As for the energy above the most stable polymorph in this dataset: 911 meV per atom. The uncorrected energy comes out at -20.28 eV per cell. The value obtained for the density of states at the Fermi level is 3.1 states/eV per cell. As for the space-group type: I4/mmm (139).

Cell lengths 6.3976, 6.3976, 6.3976 Å; angles 140.71, 140.71, 56.78 degrees
Atoms (fractional coordinates):
Ba 0.2500 0.7500 0.5000
Ba 0.7500 0.2500 0.5000
Ta 0.0000 0.0000 0.0000
Ru 0.5000 0.5000 0.0000

6.
DFT (PBE) results for a relaxed structure of La2Zn6NiPd.

Properties
The uncorrected energy comes out at -31.82 eV per cell. The value obtained for the density of states at the Fermi level is 7.0 states/eV per cell. As for the space-group type: P-1 (2).

Cell lengths 6.4333, 6.4488, 6.7561 Å; angles 61.55, 61.57, 60.08 degrees
Atoms (fractional coordinates):
La 0.2169 0.2156 0.3541
La 0.7831 0.7844 0.6459
Zn 0.2441 0.6735 0.8366
Zn 0.2455 0.2447 0.8373
Zn 0.3269 0.7545 0.1632
Zn 0.6731 0.2455 0.8368
Zn 0.7545 0.7553 0.1627
Zn 0.7559 0.3265 0.1634
Ni 0.0000 0.0000 0.0000
Pd 0.5000 0.5000 0.5000

For each record above, in turn, the calculated total moment values are 5.9; 0.0; 0.0; 0.0; 0.0; 0.0 μB per formula unit.